DFT (PBE-GGA) results for a relaxed NpGa4Pb crystal.

For the uncorrected energy, the calculation gives -4.726 eV per atom. Its formation energy is 0.067 eV/atom.

The structure belongs to space group F-43m (No. 216); the cell edges are 7.973, 7.973 and 7.973 Å and the angles 90.00°, 90.00° and 90.00°. The asymmetric unit holds Np at (0.000, 0.000, 0.000), Ga at (0.125, 0.125, 0.625) and Pb at (0.250, 0.250, 0.250).